Record 1
Computed, not measured: a geometry-optimized Ag2Os2O5 structure at the PBE-GGA level of DFT.

POSCAR file:
```
Ag2Os2O5
1.0
1.701 0.982 12.053
-1.701 0.982 12.053
0.000 -1.965 12.053
Ag Os O
2 2 5
direct
0.000 0.000 0.000
0.173 0.173 0.173
0.420 0.420 0.420
0.588 0.588 0.588
0.087 0.087 0.087
0.235 0.235 0.235
0.368 0.368 0.368
0.472 0.472 0.472
0.937 0.937 0.937
```

- Distance to the lowest polymorph of the same formula: 0.074 eV per atom
- Total DFT energy (no corrections): -54.7 eV per cell

***

Record 2
Computed, not measured: a geometry-optimized Ag2Os2O5 structure at the PBE-GGA level of DFT.

POSCAR file:
```
Ag2Os2O5
1.0
3.294 0.000 0.000
0.000 3.294 0.000
0.000 0.000 10.224
Ag Os O
2 2 5
direct
0.000 0.000 0.220
0.000 0.000 0.780
0.500 0.500 0.000
0.500 0.500 0.500
0.000 0.000 0.000
0.000 0.500 0.387
0.000 0.500 0.613
0.500 0.000 0.387
0.500 0.000 0.613
```

- Distance to the lowest polymorph of the same formula: 0.463 eV per atom
- Total DFT energy (no corrections): -51.2 eV per cell

***

Record 3
Computed, not measured: a geometry-optimized Ag2Os2O5 structure at the PBE-GGA level of DFT.

POSCAR file:
```
Ag2Os2O5
1.0
3.827 0.000 0.000
0.000 3.827 0.000
0.000 0.000 7.527
Ag Os O
2 2 5
direct
0.000 0.000 0.000
0.000 0.000 0.500
0.500 0.500 0.219
0.500 0.500 0.781
0.000 0.500 0.219
0.000 0.500 0.781
0.500 0.000 0.219
0.500 0.000 0.781
0.500 0.500 0.500
```

- Distance to the lowest polymorph of the same formula: 0.000 eV per atom
- Total DFT energy (no corrections): -55.4 eV per cell

***

Record 4
Computed, not measured: a geometry-optimized Ag6OsO8 structure at the PBE-GGA level of DFT.

POSCAR file:
```
Ag6OsO8
1.0
0.000 4.696 4.696
4.696 0.000 4.696
4.696 4.696 0.000
Ag Os O
6 1 8
direct
0.000 0.000 0.500
0.000 0.500 0.000
0.000 0.500 0.500
0.500 0.000 0.000
0.500 0.000 0.500
0.500 0.500 0.000
0.000 0.000 0.000
0.204 0.204 0.796
0.204 0.796 0.204
0.204 0.796 0.796
0.250 0.250 0.250
0.750 0.750 0.750
0.796 0.204 0.204
0.796 0.204 0.796
0.796 0.796 0.204
```

- Total DFT energy (no corrections): -71.0 eV per cell

***

Record 5
Computed, not measured: a geometry-optimized AgPOsO structure at the PBE-GGA level of DFT.

POSCAR file:
```
AgPOsO
1.0
4.109 0.000 0.000
0.000 4.109 0.000
0.000 0.000 7.523
Ag P Os O
2 2 2 2
direct
0.250 0.250 0.085
0.750 0.750 0.915
0.250 0.250 0.645
0.750 0.750 0.355
0.250 0.750 0.500
0.750 0.250 0.500
0.250 0.750 0.000
0.750 0.250 0.000
```

- Distance to the lowest polymorph of the same formula: 0.362 eV per atom
- Total DFT energy (no corrections): -47.9 eV per cell

***

Record 6
Computed, not measured: a geometry-optimized AgPOsO structure at the PBE-GGA level of DFT.

POSCAR file:
```
AgPOsO
1.0
2.935 0.000 0.000
0.000 7.011 0.000
0.000 0.000 5.658
Ag P Os O
2 2 2 2
direct
0.000 0.031 0.000
0.000 0.969 0.500
0.000 0.311 0.502
0.000 0.689 0.002
0.500 0.500 0.250
0.500 0.500 0.750
0.500 0.291 0.000
0.500 0.709 0.500
```

- Distance to the lowest polymorph of the same formula: 0.000 eV per atom
- Total DFT energy (no corrections): -50.8 eV per cell

***

Record 7
Computed, not measured: a geometry-optimized AgPOsO structure at the PBE-GGA level of DFT.

POSCAR file:
```
AgPOsO
1.0
3.790 0.000 0.000
0.000 6.095 0.000
0.000 0.000 5.818
Ag P Os O
2 2 2 2
direct
0.000 0.157 0.000
0.000 0.843 0.500
0.500 0.371 0.832
0.500 0.629 0.332
0.500 0.284 0.462
0.500 0.716 0.962
0.000 0.231 0.418
0.000 0.769 0.918
```

- Distance to the lowest polymorph of the same formula: 0.208 eV per atom
- Total DFT energy (no corrections): -49.1 eV per cell

***

Record 8
Computed, not measured: a geometry-optimized AgPOsO structure at the PBE-GGA level of DFT.

POSCAR file:
```
AgPOsO
1.0
3.521 0.000 0.000
0.000 3.521 0.000
0.000 0.000 8.912
Ag P Os O
2 2 2 2
direct
0.250 0.750 0.000
0.750 0.250 0.000
0.250 0.250 0.243
0.750 0.750 0.757
0.250 0.250 0.646
0.750 0.750 0.354
0.250 0.750 0.500
0.750 0.250 0.500
```

- Distance to the lowest polymorph of the same formula: 0.724 eV per atom
- Total DFT energy (no corrections): -45.0 eV per cell

***

Record 9
Computed, not measured: a geometry-optimized Ag3Os4PbO12 structure at the PBE-GGA level of DFT.

POSCAR file:
```
Ag3Os4PbO12
1.0
-3.866 3.866 3.866
3.866 -3.866 3.866
3.866 3.866 -3.866
Ag Os Pb O
3 4 1 12
direct
0.000 0.500 0.500
0.500 0.000 0.500
0.500 0.500 0.000
0.000 0.000 0.500
0.000 0.500 0.000
0.500 0.000 0.000
0.500 0.500 0.500
0.000 0.000 0.000
0.083 0.285 0.799
0.201 0.486 0.285
0.201 0.917 0.715
0.285 0.201 0.486
0.285 0.799 0.083
0.486 0.285 0.201
0.514 0.715 0.799
0.715 0.201 0.917
0.715 0.799 0.514
0.799 0.083 0.285
0.799 0.514 0.715
0.917 0.715 0.201
```

- Total DFT energy (no corrections): -129.0 eV per cell

***

Record 10
Computed, not measured: a geometry-optimized RbAgOsO3 structure at the PBE-GGA level of DFT.

POSCAR file:
```
RbAgOsO3
1.0
11.879 0.000 0.000
0.000 3.200 0.000
0.000 0.000 10.829
Rb Ag Os O
4 4 4 12
direct
0.231 0.250 0.146
0.269 0.750 0.646
0.731 0.250 0.354
0.769 0.750 0.854
0.038 0.250 0.911
0.462 0.750 0.411
0.538 0.250 0.589
0.962 0.750 0.089
0.021 0.250 0.372
0.479 0.750 0.872
0.521 0.250 0.128
0.979 0.750 0.628
0.069 0.250 0.552
0.072 0.750 0.767
0.114 0.750 0.330
0.386 0.250 0.830
0.428 0.250 0.267
0.431 0.750 0.052
0.569 0.250 0.948
0.572 0.750 0.733
0.614 0.750 0.170
0.886 0.250 0.670
0.928 0.250 0.233
0.931 0.750 0.448
```

- Total DFT energy (no corrections): -138.5 eV per cell

***

Record 11
Computed, not measured: a geometry-optimized AgOsSO structure at the PBE-GGA level of DFT.

POSCAR file:
```
AgOsSO
1.0
5.141 0.000 0.000
0.000 4.889 0.000
-0.286 0.000 10.223
Ag Os S O
4 4 4 4
direct
0.197 0.000 0.153
0.274 0.500 0.016
0.726 0.000 0.984
0.803 0.500 0.847
0.089 0.178 0.622
0.406 0.800 0.632
0.594 0.300 0.368
0.911 0.678 0.378
0.238 0.499 0.261
0.299 0.465 0.779
0.701 0.965 0.221
0.762 0.999 0.739
0.109 0.565 0.542
0.384 0.091 0.489
0.616 0.591 0.511
0.891 0.065 0.458
```

- Distance to the lowest polymorph of the same formula: 0.000 eV per atom
- Total DFT energy (no corrections): -94.5 eV per cell

***

Record 12
Computed, not measured: a geometry-optimized AgOsSO structure at the PBE-GGA level of DFT.

POSCAR file:
```
AgOsSO
1.0
6.587 0.000 0.000
0.000 5.820 0.000
-0.618 0.000 6.283
Ag Os S O
4 4 4 4
direct
0.055 0.230 0.060
0.055 0.270 0.560
0.945 0.730 0.440
0.945 0.770 0.940
0.491 0.625 0.259
0.491 0.875 0.759
0.509 0.125 0.241
0.509 0.375 0.741
0.293 0.621 0.936
0.293 0.879 0.436
0.707 0.121 0.564
0.707 0.379 0.064
0.356 0.128 0.918
0.356 0.372 0.418
0.644 0.628 0.582
0.644 0.872 0.082
```

- Distance to the lowest polymorph of the same formula: 0.014 eV per atom
- Total DFT energy (no corrections): -94.3 eV per cell